1.
A PBEsol-optimized structure of K2CoTc. Source: Alexandria via LeMat-Bulk, functional SCAN.

Energy of formation from the pure elements, kcal/mol of atoms: 32.4

Lattice parameters (Å, degrees): 2.7282 4.8156 5.6816 90.00 90.00 90.00
Last column: nearest neighbours and their distance in Å.
Space group Pmmm (No. 47)
Unique sites:
K1 0.0000 0.0000 0.0000 (multiplicity 1)  6 K 2.73-2.77
K2 0.5000 0.5000 0.0000 (multiplicity 1)  6 K 2.73-2.77
Co1 0.0000 0.5000 0.5000 (multiplicity 1)  2 Co 2.73, 4 Tc 2.77
Tc1 0.5000 0.0000 0.5000 (multiplicity 1)  2 Tc 2.73, 4 Co 2.77

***

2.
A PBEsol-optimized structure of ZnFeBr2. Source: Alexandria via LeMat-Bulk, functional SCAN.

Uncorrected formation energy, eV/atom: 0.67

Lattice parameters (Å, degrees): 6.8814 6.8814 6.8814 90.00 90.00 90.00
Last column: nearest neighbours and their distance in Å.
Space group F-43m (No. 216)
Unique sites:
Zn1 0.0000 0.0000 0.0000 (multiplicity 4)  4 Fe 2.98, 4 Br 2.98
Fe1 0.2500 0.2500 0.7500 (multiplicity 4)  4 Br 2.98, 4 Zn 2.98
Br1 0.0000 0.0000 0.5000 (multiplicity 4)  4 Br 2.98, 4 Fe 2.98
Br2 0.2500 0.2500 0.2500 (multiplicity 4)  4 Br 2.98, 4 Zn 2.98

***

3.
A PBEsol-optimized structure of Al12Ag17. Source: Alexandria via LeMat-Bulk, functional SCAN.

Energy of formation from the pure elements, kcal/mol of atoms: -1.0

Lattice parameters (Å, degrees): 9.8187 9.8187 9.8187 90.00 90.00 90.00
Last column: nearest neighbours and their distance in Å.
Space group I-43m (No. 217)
Unique sites:
Al1 0.0950 0.0950 0.2869 (multiplicity 24)  3 Al 2.64-2.66, 7 Ag 2.64-2.90
Ag1 0.0000 0.0000 0.0000 (multiplicity 2)  4 Ag 2.81, 12 Al 3.11
Ag2 0.0483 0.3609 0.3609 (multiplicity 24)  5 Al 2.64-2.84, 3 Ag 2.84-2.89
Ag3 0.1651 0.1651 0.8349 (multiplicity 8)  4 Ag 2.81-2.84, 6 Al 2.90